(1)
Compound: Al2AgF8
Source: Alexandria
Functional: PBE
Structure: relaxed

The calculation puts the offset from the most stable computed form at 0.000 eV/atom. Its density of states at the Fermi level is 5.89 states/eV/f.u. The formation energy (no corrections) is -2718.7 meV/atom.

a = 6.5761 Å, b = 6.5761 Å, c = 3.7392 Å
α = 90.00°, β = 90.00°, γ = 120.00°
Space group P-3m1 (No. 164)
Inequivalent atoms, fractional coordinates:
Al 0.3333 0.6667 0.2586 x2
Ag 0.0000 0.0000 0.5000 x1
F 0.1815 0.3631 0.2463 x6
F 0.3333 0.6667 0.7550 x2


(2)
Compound: Ac4La5Er
Source: Alexandria
Functional: PBE
Structure: relaxed

As for the energy of formation from the pure elements: 0.2434 eV per atom. Its density of states at the Fermi level is 15.67 states/eV/f.u.

a = 18.827 Å, b = 5.438 Å, c = 8.960 Å
α = 90.00°, β = 114.73°, γ = 90.00°
Space group C2/m (No. 12)
Inequivalent atoms, fractional coordinates:
Ac 0.027 0.000 0.273 x4
Ac 0.176 0.500 0.422 x4
La 0.000 0.500 0.000 x2
La 0.159 0.000 0.699 x4
La 0.182 0.000 0.123 x4
Er 0.000 0.500 0.500 x2


(3)
Compound: LaRePBr2
Source: Alexandria
Functional: PBE
Structure: relaxed

Its density of states at the Fermi level is 3.47 states/eV/f.u. The formation energy (no corrections) is 344.9 meV/atom.

a = 4.767 Å, b = 4.767 Å, c = 6.325 Å
α = 90.00°, β = 90.00°, γ = 90.00°
Space group P4/mmm (No. 123)
Inequivalent atoms, fractional coordinates:
La 0.000 0.000 0.000 x1
Re 0.000 0.000 0.500 x1
P 0.500 0.500 0.000 x1
Br 0.000 0.500 0.500 x2


(4)
Compound: BaPrNpO6
Source: Alexandria
Functional: PBE
Structure: relaxed

The formation energy (no corrections) is -2928.1 meV/atom.

a = 6.0821 Å, b = 6.0821 Å, c = 10.6519 Å
α = 90.00°, β = 90.00°, γ = 120.00°
Space group P-31c (No. 163)
Inequivalent atoms, fractional coordinates:
Ba 0.0000 0.0000 0.0000 x2
Pr 0.3333 0.6667 0.2500 x2
Np 0.3333 0.6667 0.7500 x2
O 0.0434 0.3957 0.6467 x12